1.
VASP calculation (PBE) on TbHoPa after structural relaxation.

Lattice parameters (Å, degrees): 6.4290 6.4290 6.4290 129.52 116.42 85.34
Last column: nearest neighbours and their distance in Å.
Element x y z (fractional)
Tb (0.2428, 0.0000, 0.2428)  3 Pa 3.17-3.18, 2 Tb 3.29-3.48, 3 Ho 3.49-3.55
Tb (0.7572, 0.0000, 0.7572)  3 Pa 3.17-3.18, 2 Tb 3.29-3.48, 3 Ho 3.49-3.55
Ho (0.3496, 0.3496, 0.0000)  2 Ho 3.40, 6 Pa 3.51-3.63, 6 Tb 3.55-3.69
Ho (0.8204, 0.3204, 0.5000)  2 Ho 3.40, 6 Tb 3.49-3.62, 6 Pa 3.54-3.71
Pa (0.3655, 0.6673, 0.6982)  1 Pa 2.69
Pa (0.9691, 0.6673, 0.3018)  1 Pa 2.69

## Properties
DOS at the Fermi energy: 2.42 states/eV per atom
symmetry: Imm2, No. 44
final energy: -6.01 eV per atom

2.
VASP calculation (PBE) on Er2FeH after structural relaxation.

Lattice parameters (Å, degrees): 3.1659 3.1659 6.8465 90.00 90.00 90.00
Last column: nearest neighbours and their distance in Å.
Element x y z (fractional)
Er (0.0000, 0.0000, 0.2395)  4 Fe 2.78, 4 H 2.86
Er (0.0000, 0.0000, 0.7605)  4 Fe 2.78, 4 H 2.86
Fe (0.5000, 0.5000, 0.0000)  8 Er 2.78
H (0.5000, 0.5000, 0.5000)  8 Er 2.86, 4 H 3.17

## Properties
DOS at the Fermi energy: 0.56 states/eV per atom
symmetry: P4/mmm, No. 123
final energy: -5.18 eV per atom

3.
VASP calculation (PBE) on Li4GePt after structural relaxation.

Lattice parameters (Å, degrees): 7.9932 7.9932 4.3843 90.00 90.00 143.05
Last column: nearest neighbours and their distance in Å.
Element x y z (fractional)
Li (0.0398, 0.4571, 0.2500)  5 Li 2.52-2.55, 1 Ge 2.80
Li (0.2045, 0.2872, 0.2500)  5 Li 2.49-2.57
Li (0.2872, 0.2045, 0.7500)  5 Li 2.49-2.57
Li (0.4571, 0.0398, 0.7500)  5 Li 2.52-2.55, 1 Ge 2.80
Li (0.5429, 0.9602, 0.2500)  5 Li 2.52-2.55, 1 Ge 2.80
Li (0.7128, 0.7955, 0.2500)  5 Li 2.49-2.57
Li (0.7955, 0.7128, 0.7500)  5 Li 2.49-2.57
Li (0.9602, 0.5429, 0.7500)  5 Li 2.52-2.55, 1 Ge 2.80
Ge (0.3739, 0.6261, 0.7500)  2 Pt 2.53, 6 Li 2.80-2.83
Ge (0.6261, 0.3739, 0.2500)  2 Pt 2.53, 6 Li 2.80-2.83
Pt (0.1237, 0.8763, 0.2500)  2 Ge 2.53, 6 Li 2.80-2.81
Pt (0.8763, 0.1237, 0.7500)  2 Ge 2.53, 6 Li 2.80-2.81

## Properties
DOS at the Fermi energy: 0.20 states/eV per atom
symmetry: Cmcm, No. 63
final energy: -3.55 eV per atom

4.
VASP calculation (PBE) on Cs2Cd3InBi4 after structural relaxation.

Lattice parameters (Å, degrees): 5.4603 5.4603 12.1239 90.00 90.00 90.00
Last column: nearest neighbours and their distance in Å.
Element x y z (fractional)
Cs (0.0000, 0.5000, 0.2497)  7 Cd 4.08-4.52, 2 In 4.08, 9 Bi 4.08-4.56
Cs (0.5000, 0.0000, 0.7503)  7 Cd 4.08-4.52, 2 In 4.08, 9 Bi 4.08-4.56
Cd (0.0000, 0.0000, 0.0000)  4 Bi 3.13
Cd (0.0000, 0.5000, 0.6228)  5 Bi 3.04-3.11
Cd (0.5000, 0.0000, 0.3772)  5 Bi 3.04-3.11
In (0.5000, 0.5000, 0.0000)  4 Bi 3.13
Bi (0.0000, 0.0000, 0.5000)  4 Cd 3.11
Bi (0.0000, 0.5000, 0.8737)  3 Cd 3.04-3.13, 2 In 3.13
Bi (0.5000, 0.0000, 0.1263)  3 Cd 3.04-3.13, 2 In 3.13
Bi (0.5000, 0.5000, 0.5000)  4 Cd 3.11

## Properties
DOS at the Fermi energy: 0.28 states/eV per atom
symmetry: P-4m2, No. 115
final energy: -2.49 eV per atom

What did the first record say?
VASP calculation (PBE) on TbHoPa after structural relaxation.

Lattice parameters (Å, degrees): 6.4290 6.4290 6.4290 129.52 116.42 85.34
Last column: nearest neighbours and their distance in Å.
Element x y z (fractional)
Tb (0.2428, 0.0000, 0.2428)  3 Pa 3.17-3.18, 2 Tb 3.29-3.48, 3 Ho 3.49-3.55
Tb (0.7572, 0.0000, 0.7572)  3 Pa 3.17-3.18, 2 Tb 3.29-3.48, 3 Ho 3.49-3.55
Ho (0.3496, 0.3496, 0.0000)  2 Ho 3.40, 6 Pa 3.51-3.63, 6 Tb 3.55-3.69
Ho (0.8204, 0.3204, 0.5000)  2 Ho 3.40, 6 Tb 3.49-3.62, 6 Pa 3.54-3.71
Pa (0.3655, 0.6673, 0.6982)  1 Pa 2.69
Pa (0.9691, 0.6673, 0.3018)  1 Pa 2.69

## Properties
DOS at the Fermi energy: 2.42 states/eV per atom
symmetry: Imm2, No. 44
final energy: -6.01 eV per atom

What did the third record say?
VASP calculation (PBE) on Li4GePt after structural relaxation.

Lattice parameters (Å, degrees): 7.9932 7.9932 4.3843 90.00 90.00 143.05
Last column: nearest neighbours and their distance in Å.
Element x y z (fractional)
Li (0.0398, 0.4571, 0.2500)  5 Li 2.52-2.55, 1 Ge 2.80
Li (0.2045, 0.2872, 0.2500)  5 Li 2.49-2.57
Li (0.2872, 0.2045, 0.7500)  5 Li 2.49-2.57
Li (0.4571, 0.0398, 0.7500)  5 Li 2.52-2.55, 1 Ge 2.80
Li (0.5429, 0.9602, 0.2500)  5 Li 2.52-2.55, 1 Ge 2.80
Li (0.7128, 0.7955, 0.2500)  5 Li 2.49-2.57
Li (0.7955, 0.7128, 0.7500)  5 Li 2.49-2.57
Li (0.9602, 0.5429, 0.7500)  5 Li 2.52-2.55, 1 Ge 2.80
Ge (0.3739, 0.6261, 0.7500)  2 Pt 2.53, 6 Li 2.80-2.83
Ge (0.6261, 0.3739, 0.2500)  2 Pt 2.53, 6 Li 2.80-2.83
Pt (0.1237, 0.8763, 0.2500)  2 Ge 2.53, 6 Li 2.80-2.81
Pt (0.8763, 0.1237, 0.7500)  2 Ge 2.53, 6 Li 2.80-2.81

## Properties
DOS at the Fermi energy: 0.20 states/eV per atom
symmetry: Cmcm, No. 63
final energy: -3.55 eV per atom

Please write out number 3 again, unchanged.
VASP calculation (PBE) on Li4GePt after structural relaxation.

Lattice parameters (Å, degrees): 7.9932 7.9932 4.3843 90.00 90.00 143.05
Last column: nearest neighbours and their distance in Å.
Element x y z (fractional)
Li (0.0398, 0.4571, 0.2500)  5 Li 2.52-2.55, 1 Ge 2.80
Li (0.2045, 0.2872, 0.2500)  5 Li 2.49-2.57
Li (0.2872, 0.2045, 0.7500)  5 Li 2.49-2.57
Li (0.4571, 0.0398, 0.7500)  5 Li 2.52-2.55, 1 Ge 2.80
Li (0.5429, 0.9602, 0.2500)  5 Li 2.52-2.55, 1 Ge 2.80
Li (0.7128, 0.7955, 0.2500)  5 Li 2.49-2.57
Li (0.7955, 0.7128, 0.7500)  5 Li 2.49-2.57
Li (0.9602, 0.5429, 0.7500)  5 Li 2.52-2.55, 1 Ge 2.80
Ge (0.3739, 0.6261, 0.7500)  2 Pt 2.53, 6 Li 2.80-2.83
Ge (0.6261, 0.3739, 0.2500)  2 Pt 2.53, 6 Li 2.80-2.83
Pt (0.1237, 0.8763, 0.2500)  2 Ge 2.53, 6 Li 2.80-2.81
Pt (0.8763, 0.1237, 0.7500)  2 Ge 2.53, 6 Li 2.80-2.81

## Properties
DOS at the Fermi energy: 0.20 states/eV per atom
symmetry: Cmcm, No. 63
final energy: -3.55 eV per atom